# 1
{
  "formula": "HfHRh2Au",
  "functional": "PBE",
  "state": "relaxed",
  "lattice_angstrom": [[4.054, 0.000, 0.000], [0.000, 4.054, 0.000], [0.000, 0.000, 4.086]],
  "species": ["Hf", "H", "Rh", "Rh", "Au"],
  "frac_coords": [[0.000, 0.000, 0.000], [0.000, 0.000, 0.500], [0.000, 0.500, 0.500], [0.500, 0.000, 0.500], [0.500, 0.500, 0.000]],
  "relative_energy_mev_per_atom": 0,
  "space_group": "P4/mmm, No. 123"
}

---

# 2
{
  "formula": "HfHRh2Au",
  "functional": "PBE",
  "state": "relaxed",
  "lattice_angstrom": [[4.151, 0.000, 0.000], [0.000, 4.151, 0.000], [0.000, 0.000, 3.904]],
  "species": ["Hf", "H", "Rh", "Rh", "Au"],
  "frac_coords": [[0.000, 0.000, 0.000], [0.500, 0.500, 0.500], [0.000, 0.500, 0.500], [0.500, 0.000, 0.500], [0.500, 0.500, 0.000]],
  "relative_energy_mev_per_atom": 21,
  "space_group": "P4/mmm, No. 123"
}

---

# 3
{
  "formula": "Hf2HRuAu",
  "functional": "PBE",
  "state": "relaxed",
  "lattice_angstrom": [[4.447, 0.000, 0.000], [0.000, 4.447, 0.000], [0.000, 0.000, 3.795]],
  "species": ["Hf", "Hf", "H", "Ru", "Au"],
  "frac_coords": [[0.000, 0.500, 0.000], [0.500, 0.000, 0.000], [0.000, 0.000, 0.000], [0.000, 0.000, 0.500], [0.500, 0.500, 0.500]],
  "final_energy_ev_per_atom": -7.581,
  "space_group": "P4/mmm, No. 123"
}

---

# 4
{
  "formula": "HfHRu2Au",
  "functional": "PBE",
  "state": "relaxed",
  "lattice_angstrom": [[4.032, 0.000, 0.000], [0.000, 4.032, 0.000], [0.000, 0.000, 4.081]],
  "species": ["Hf", "H", "Ru", "Ru", "Au"],
  "frac_coords": [[0.000, 0.000, 0.000], [0.000, 0.000, 0.500], [0.000, 0.500, 0.500], [0.500, 0.000, 0.500], [0.500, 0.500, 0.000]],
  "relative_energy_mev_per_atom": 0,
  "space_group": "P4/mmm, No. 123"
}

---

# 5
{
  "formula": "HfHRu2Au",
  "functional": "PBE",
  "state": "relaxed",
  "lattice_angstrom": [[4.102, 0.000, 0.000], [0.000, 4.102, 0.000], [0.000, 0.000, 3.957]],
  "species": ["Hf", "H", "Ru", "Ru", "Au"],
  "frac_coords": [[0.000, 0.000, 0.000], [0.500, 0.500, 0.500], [0.000, 0.500, 0.500], [0.500, 0.000, 0.500], [0.500, 0.500, 0.000]],
  "relative_energy_mev_per_atom": 60,
  "space_group": "P4/mmm, No. 123"
}

---

# 6
{
  "formula": "HfHAu2Se",
  "functional": "PBE",
  "state": "relaxed",
  "lattice_angstrom": [[5.228, 0.000, 0.000], [0.000, 5.228, 0.000], [0.000, 0.000, 3.233]],
  "species": ["Hf", "H", "Au", "Au", "Se"],
  "frac_coords": [[0.000, 0.000, 0.000], [0.500, 0.500, 0.000], [0.000, 0.500, 0.500], [0.500, 0.000, 0.500], [0.500, 0.500, 0.500]],
  "final_energy_ev_per_atom": -4.437,
  "space_group": "P4/mmm, No. 123"
}

---

# 7
{
  "formula": "HfSnH2Au",
  "functional": "PBE",
  "state": "relaxed",
  "lattice_angstrom": [[3.937, 0.000, 0.000], [0.000, 3.937, 0.000], [0.000, 0.000, 5.679]],
  "species": ["Hf", "Sn", "H", "H", "Au"],
  "frac_coords": [[0.000, 0.000, 0.000], [0.500, 0.500, 0.000], [0.000, 0.500, 0.500], [0.500, 0.000, 0.500], [0.000, 0.000, 0.500]],
  "final_energy_ev_per_atom": -4.387,
  "space_group": "P4/mmm, No. 123"
}

---

# 8
{
  "formula": "Hf2TaHAu",
  "functional": "PBE",
  "state": "relaxed",
  "lattice_angstrom": [[4.378, 0.000, 0.000], [0.000, 4.378, 0.000], [0.000, 0.000, 4.156]],
  "species": ["Hf", "Hf", "Ta", "H", "Au"],
  "frac_coords": [[0.000, 0.500, 0.000], [0.500, 0.000, 0.000], [0.000, 0.000, 0.500], [0.000, 0.000, 0.000], [0.500, 0.500, 0.500]],
  "final_energy_ev_per_atom": -7.899,
  "space_group": "P4/mmm, No. 123"
}

---

# 9
{
  "formula": "Hf2TeHAu",
  "functional": "PBE",
  "state": "relaxed",
  "lattice_angstrom": [[5.297, 0.000, 0.000], [0.000, 5.297, 0.000], [0.000, 0.000, 5.151]],
  "species": ["Hf", "Hf", "Te", "H", "Au"],
  "frac_coords": [[0.000, 0.500, 0.000], [0.500, 0.000, 0.000], [0.000, 0.000, 0.000], [0.500, 0.500, 0.500], [0.000, 0.000, 0.500]],
  "final_energy_ev_per_atom": -4.461,
  "space_group": "P4/mmm, No. 123"
}

---

# 10
{
  "formula": "HfTi2HAu",
  "functional": "PBE",
  "state": "relaxed",
  "lattice_angstrom": [[4.127, 0.000, 0.000], [0.000, 4.127, 0.000], [0.000, 0.000, 4.315]],
  "species": ["Hf", "Ti", "Ti", "H", "Au"],
  "frac_coords": [[0.000, 0.000, 0.000], [0.000, 0.500, 0.500], [0.500, 0.000, 0.500], [0.000, 0.000, 0.500], [0.500, 0.500, 0.000]],
  "final_energy_ev_per_atom": -6.804,
  "space_group": "P4/mmm, No. 123"
}

---

# 11
{
  "formula": "Hf2VHAu",
  "functional": "PBE",
  "state": "relaxed",
  "lattice_angstrom": [[4.472, 0.000, 0.000], [0.000, 4.472, 0.000], [0.000, 0.000, 3.795]],
  "species": ["Hf", "Hf", "V", "H", "Au"],
  "frac_coords": [[0.000, 0.500, 0.000], [0.500, 0.000, 0.000], [0.000, 0.000, 0.500], [0.000, 0.000, 0.000], [0.500, 0.500, 0.500]],
  "final_energy_ev_per_atom": -7.365,
  "space_group": "P4/mmm, No. 123"
}

---

# 12
{
  "formula": "HfV2HAu",
  "functional": "PBE",
  "state": "relaxed",
  "lattice_angstrom": [[3.967, 0.000, 0.000], [0.000, 3.967, 0.000], [0.000, 0.000, 4.318]],
  "species": ["Hf", "V", "V", "H", "Au"],
  "frac_coords": [[0.000, 0.000, 0.000], [0.000, 0.500, 0.500], [0.500, 0.000, 0.500], [0.000, 0.000, 0.500], [0.500, 0.500, 0.000]],
  "final_energy_ev_per_atom": -7.079,
  "space_group": "P4/mmm, No. 123"
}

---

Number 1: spin magnetization 0.00 μB/f.u.. Number 2: spin magnetization 0.00 μB/f.u.. Number 3: spin magnetization 0.00 μB/f.u.. Number 4: spin magnetization 0.00 μB/f.u.. Number 5: spin magnetization 0.00 μB/f.u.. Number 6: spin magnetization 0.00 μB/f.u.. Number 7: spin magnetization 0.00 μB/f.u.. Number 8: spin magnetization 0.00 μB/f.u.. Number 9: spin magnetization 0.00 μB/f.u.. Number 10: spin magnetization 0.00 μB/f.u.. Number 11: spin magnetization 1.07 μB/f.u.. Number 12: spin magnetization 1.16 μB/f.u..